[1]
Here is an optimized crystal structure of TiNiCS2 from Alexandria via LeMat-Bulk. Energies are from PBE.

Values from the calculation:
Density of states at the Fermi level ... 2.9 states/eV per cell
Energy relative to the elements, uncorrected ... 2.20 eV per formula unit
Uncorrected energy ... -29.0 eV for the cell shown
Calculated density ... 4.10 g cm⁻³

Lattice parameters (Å, degrees): 4.606 3.486 4.606 90.00 90.00 90.00
Each line ends with the local moment (μB).
Fractional positions:
Ti (0.500, 0.500, 0.500)  -1.20
S (0.000, 0.000, 0.500)  0.04
S (0.500, 0.000, 0.000)  0.06
C (0.000, 0.500, 0.000)  0.07
Ni (0.000, 0.000, 0.000)  -0.03

***

[2]
Here is an optimized crystal structure of ScTa2Re from Alexandria via LeMat-Bulk. Energies are from PBE.

Values from the calculation:
Density of states at the Fermi level ... 3.6 states/eV per cell
Energy relative to the lowest polymorph listed for this composition ... 68 meV/atom
Uncorrected energy ... -42.6 eV for the cell shown
Formation energy ... -0.028 eV per atom
Calculated density ... 13.47 g cm⁻³

Lattice parameters (Å, degrees): 3.200 3.200 7.140 90.00 90.00 90.00
Fractional positions:
Sc (0.500, 0.500, 0.727)
Ta (0.000, 0.000, 0.020)
Ta (0.500, 0.500, 0.274)
Re (0.000, 0.000, 0.479)